Entry 1:
LiDyMg2Pd4: relaxed, PBE-GGA.

Values from the calculation:
Energy relative to the elements: -700 meV per atom
Calculated volume: 412.1 Å³ per cell
DOS(E_F): 10.70 states/eV per cell
Crystal system: trigonal

abc: 4.5623 4.5623 22.8607
angles: 90.00 90.00 120.00
Closest atoms and distances in Å follow each position.
Space group R-3m (No. 166, hexagonal axes)
One atom of each set of equivalent atoms:
Li  0.0000  0.0000  0.0000 (multiplicity 3)  8 Pd 2.62-2.80
Dy  0.0000  0.0000  0.5000 (multiplicity 3)  8 Pd 2.87-2.89
Mg  0.0000  0.0000  0.2571 (multiplicity 6)  7 Pd 2.68-2.78
Pd  0.0000  0.0000  0.1147 (multiplicity 6)  1 Li 2.62, 3 Mg 2.78, 3 Dy 2.89
Pd  0.0000  0.0000  0.3744 (multiplicity 6)  4 Mg 2.68-2.75, 3 Li 2.80, 1 Dy 2.87

Entry 2:
TmNb2N: relaxed, PBE-GGA.

Values from the calculation:
Calculated volume: 217.8 Å³ per cell
E_form (uncorrected): -0.179 eV/atom
DOS(E_F): 10.64 states/eV per cell
Crystal system: trigonal

abc: 3.1930 3.1930 24.6686
angles: 90.00 90.00 120.00
Closest atoms and distances in Å follow each position.
Space group R-3m (No. 166, hexagonal axes)
One atom of each set of equivalent atoms:
Tm  0.0000  0.0000  0.0000 (multiplicity 3)  2 Nb 2.96, 6 Tm 3.19
Nb  0.0000  0.0000  0.1199 (multiplicity 6)  3 N 2.17
N  0.0000  0.0000  0.5000 (multiplicity 3)  6 Nb 2.17

Entry 3:
SnTe2SeN: relaxed, PBE-GGA.

Values from the calculation:
Calculated volume: 128.6 Å³ per cell
E_form (uncorrected): 0.738 eV/atom
DOS(E_F): 3.18 states/eV per cell
Crystal system: tetragonal
Energy above the lowest structure with this stoichiometry: 0.000 eV/atom

abc: 5.9122 5.9122 3.6804
angles: 90.00 90.00 90.00
Closest atoms and distances in Å follow each position.
Space group P4/mmm (No. 123)
One atom of each set of equivalent atoms:
Sn  0.0000  0.0000  0.0000 (multiplicity 1)  8 Te 3.48, 2 Sn 3.68
Te  0.0000  0.5000  0.5000 (multiplicity 2)  2 Se 2.96
Se  0.5000  0.5000  0.5000 (multiplicity 1)  2 N 1.84
N  0.5000  0.5000  0.0000 (multiplicity 1)  2 Se 1.84

Entry 4:
AcGeO4: relaxed, PBE-GGA.

Values from the calculation:
Calculated volume: 358.3 Å³ per cell
E_form (uncorrected): -2.218 eV/atom
DOS(E_F): 13.13 states/eV per cell
Crystal system: tetragonal
Energy above the lowest structure with this stoichiometry: 0.000 eV/atom

abc: 5.3685 5.3685 12.4320
angles: 90.00 90.00 90.00
Closest atoms and distances in Å follow each position.
Space group I4_1/a (No. 88, origin choice 2)
One atom of each set of equivalent atoms:
Ac  0.0000  0.2500  0.1250 (multiplicity 4)  8 O 2.59-2.62
Ge  0.0000  0.2500  0.6250 (multiplicity 4)  4 O 1.78
O  0.1238  0.0029  0.2991 (multiplicity 16)  1 Ge 1.78

Entry 5:
AcCeTl2: relaxed, PBE-GGA.

Values from the calculation:
Energy relative to the elements: -258 meV per atom
Calculated volume: 127.9 Å³ per cell
DOS(E_F): 9.64 states/eV per cell
Crystal system: tetragonal

abc: 5.2477 5.2477 4.6444
angles: 90.00 90.00 90.00
Closest atoms and distances in Å follow each position.
Space group P4/mmm (No. 123)
One atom of each set of equivalent atoms:
Ac  0.0000  0.0000  0.0000 (multiplicity 1)  8 Tl 3.50, 4 Ce 3.71
Ce  0.5000  0.5000  0.0000 (multiplicity 1)  8 Tl 3.50, 4 Ac 3.71
Tl  0.0000  0.5000  0.5000 (multiplicity 2)  4 Ce 3.50, 4 Ac 3.50, 4 Tl 3.71

Entry 6:
ZrCrCu: relaxed, PBE-GGA.

Values from the calculation:
Energy relative to the elements: 154 meV per atom
Calculated volume: 192.8 Å³ per cell
DOS(E_F): 11.72 states/eV per cell
Crystal system: monoclinic
Energy above the lowest structure with this stoichiometry: 0.114 eV/atom

abc: 11.3620 3.4051 5.4000
angles: 90.00 112.65 90.00
Closest atoms and distances in Å follow each position.
Space group Cm (No. 8)
One atom of each set of equivalent atoms:
Zr  0.0000  0.0000  0.0000 (multiplicity 2)  4 Cr 2.75-3.00, 4 Cu 2.78-2.89
Zr  0.1354  0.5000  0.6486 (multiplicity 2)  4 Cu 2.70-2.79, 4 Cr 2.73-2.95
Cr  0.2054  0.5000  0.1931 (multiplicity 2)  2 Cr 2.22, 1 Cu 2.46
Cr  0.3028  0.0000  0.0885 (multiplicity 2)  2 Cr 2.22
Cu  0.3202  0.0000  0.5995 (multiplicity 2)  2 Cu 2.48, 4 Cr 2.69-2.72
Cu  0.4370  0.5000  0.4495 (multiplicity 2)  3 Cr 2.46-2.60, 2 Cu 2.48, 2 Zr 2.70